# 1
Below is a geometry-optimized Tm2ZrIn9 structure, with properties calculated at the GGA-PBE level.

a = 4.5767 Å, b = 4.5768 Å, c = 13.7518 Å
α = 90.00°, β = 90.00°, γ = 90.00°
Positions (direct):
Tm (0.0000, 0.0000, 0.6722)
In (0.0000, 0.5000, 0.1620)
In (0.5000, 0.0000, 0.8380)
In (0.5000, 0.0000, 0.1620)
In (0.5000, 0.0000, 0.5000)
In (0.0000, 0.5000, 0.5000)
In (0.0000, 0.5000, 0.8380)
Zr (0.0000, 0.0000, 0.0000)
Tm (0.0000, 0.0000, 0.3278)
In (0.5000, 0.5000, 0.6680)
In (0.5000, 0.5000, 0.0000)
In (0.5000, 0.5000, 0.3320)

- calculated density (g/cm3) = 8.4
- SG = P4/mmm
- size of the total moment (Bohr magnetons per cell) = 0.00
- E_form (eV per atom) = -0.306
- uncorrected energy (eV/atom) = -3.817

---

# 2
Below is a geometry-optimized TmZr2In2 structure, with properties calculated at the GGA-PBE level.

a = 5.6203 Å, b = 5.6183 Å, c = 6.7251 Å
α = 53.25°, β = 53.23°, γ = 85.39°
Positions (direct):
In (0.4998, 0.5002, 0.7903)
Zr (0.8122, 0.1879, 0.5002)
In (0.5002, 0.4998, 0.2097)
Tm (0.0000, 0.0000, 0.0000)
Zr (0.1878, 0.8121, 0.4998)

- calculated density (g/cm3) = 7.8
- SG = Immm
- size of the total moment (Bohr magnetons per cell) = 0.00
- E_form (eV per atom) = -0.175
- uncorrected energy (eV/atom) = -5.584

---

# 3
Below is a geometry-optimized Tm2ZrIn3 structure, with properties calculated at the GGA-PBE level.

a = 8.7452 Å, b = 7.4450 Å, c = 7.4450 Å
α = 143.02°, β = 90.00°, γ = 90.00°
Positions (direct):
Tm (0.2197, 0.6654, 0.3345)
In (0.4696, 0.8374, 0.1626)
In (0.4696, 0.1626, 0.8374)
Tm (0.2197, 0.3345, 0.6654)
In (0.9696, 0.8374, 0.1626)
In (0.9696, 0.1626, 0.8374)
In (0.4696, 0.5000, 0.5000)
In (0.9696, 0.5000, 0.5000)
Tm (0.7197, 0.3346, 0.6655)
Zr (0.2197, 0.0000, 0.0000)
Zr (0.7197, 0.0000, 0.0000)
Tm (0.7197, 0.6655, 0.3346)

- calculated density (g/cm3) = 8.8
- SG = Cmmm
- polymorph energy (0 for the lowest one) (eV per atom) = 0.009
- size of the total moment (Bohr magnetons per cell) = 0.00
- E_form (eV per atom) = -0.357
- uncorrected energy (eV/atom) = -4.642

---

# 4
Below is a geometry-optimized TmZrIn3 structure, with properties calculated at the GGA-PBE level.

a = 4.2918 Å, b = 4.2918 Å, c = 7.7934 Å
α = 105.98°, β = 105.98°, γ = 90.00°
Positions (direct):
Zr (0.6250, 0.6250, 0.2499)
In (0.4266, 0.4266, 0.8532)
In (0.7713, 0.2713, 0.5427)
Tm (0.9960, 0.9960, 0.9920)
In (0.2713, 0.7713, 0.5427)

- calculated density (g/cm3) = 7.6
- SG = I4mm
- size of the total moment (Bohr magnetons per cell) = 0.00
- E_form (eV per atom) = -0.024
- uncorrected energy (eV/atom) = -4.271

---

# 5
Below is a geometry-optimized TmZrIn6 structure, with properties calculated at the GGA-PBE level.

a = 4.5531 Å, b = 4.5531 Å, c = 9.1483 Å
α = 90.00°, β = 90.00°, γ = 90.00°
Positions (direct):
In (0.5000, 0.5000, 0.5000)
In (0.0000, 0.5000, 0.7453)
In (0.0000, 0.5000, 0.2547)
In (0.5000, 0.5000, 0.0000)
In (0.5000, 0.0000, 0.2547)
In (0.5000, 0.0000, 0.7453)
Tm (0.0000, 0.0000, 0.0000)
Zr (0.0000, 0.0000, 0.5000)

- calculated density (g/cm3) = 8.3
- SG = P4/mmm
- size of the total moment (Bohr magnetons per cell) = 0.00
- E_form (eV per atom) = -0.272
- uncorrected energy (eV/atom) = -3.953

---

# 6
Below is a geometry-optimized Tm6ZrIn structure, with properties calculated at the GGA-PBE level.

a = 4.7983 Å, b = 4.7983 Å, c = 9.6614 Å
α = 90.00°, β = 90.00°, γ = 90.00°
Positions (direct):
In (0.0000, 0.0000, 0.0000)
Tm (0.5000, 0.5000, 0.0000)
Zr (0.0000, 0.0000, 0.5000)
Tm (0.0000, 0.5000, 0.7459)
Tm (0.5000, 0.0000, 0.7459)
Tm (0.5000, 0.5000, 0.5000)
Tm (0.5000, 0.0000, 0.2541)
Tm (0.0000, 0.5000, 0.2541)

- calculated density (g/cm3) = 9.1
- SG = P4/mmm
- size of the total moment (Bohr magnetons per cell) = 0.00
- E_form (eV per atom) = -0.110
- uncorrected energy (eV/atom) = -4.874

---

# 7
Below is a geometry-optimized TmZrIn structure, with properties calculated at the GGA-PBE level.

a = 3.1061 Å, b = 5.1801 Å, c = 5.1801 Å
α = 120.00°, β = 90.00°, γ = 90.00°
Positions (direct):
Zr (0.1655, 0.0000, 0.0000)
In (0.6666, 0.6667, 0.3333)
Tm (0.1679, 0.3333, 0.6667)

- calculated density (g/cm3) = 8.6
- SG = P3m1
- size of the total moment (Bohr magnetons per cell) = 0.00
- E_form (eV per atom) = 0.025
- uncorrected energy (eV/atom) = -5.227

---

# 8
Below is a geometry-optimized TmZr5In3 structure, with properties calculated at the GGA-PBE level.

a = 6.1443 Å, b = 8.8456 Å, c = 8.8454 Å
α = 120.00°, β = 90.00°, γ = 90.00°
Positions (direct):
In (0.2500, 0.3295, 0.0000)
Zr (0.7500, 0.3432, 0.0000)
Tm (0.5000, 0.0000, 0.0000)
Zr (0.2500, 0.6568, 0.0000)
Zr (0.0000, 0.3333, 0.6667)
Zr (0.7500, 0.6567, 0.6568)
In (0.2500, 0.6706, 0.6705)
In (0.7500, 0.6705, 0.0000)
Zr (0.5000, 0.3333, 0.6667)
Tm (0.0000, 0.0000, 0.0000)
Zr (0.2500, 0.0000, 0.6568)
Zr (0.7500, 0.0000, 0.3432)
In (0.7500, 0.3294, 0.3295)
Zr (0.2500, 0.3433, 0.3432)
In (0.7500, 0.0000, 0.6705)
Zr (0.5000, 0.6667, 0.3333)
Zr (0.0000, 0.6667, 0.3333)
In (0.2500, 0.0000, 0.3295)

- calculated density (g/cm3) = 7.7
- SG = P6_3/mcm
- size of the total moment (Bohr magnetons per cell) = 0.00
- E_form (eV per atom) = -0.236
- uncorrected energy (eV/atom) = -6.395